Entry 1:
A relaxed PrY3B4O12 crystal. Source: Alexandria, functional PBE.

Cell: 10.2033 10.2033 8.5983 Å, 90.00 90.00 120.00°
With the nearest neighbours (Å) after each atom.
Space group R32 (No. 155, hexagonal axes)
Inequivalent atoms, fractional coordinates:
Pr: 0.0000 0.0000 0.0000 x3  6 O 2.49
Y: 0.0000 0.5358 0.0000 x9  6 O 2.27-2.29
B: 0.0000 0.0000 0.5000 x3  3 O 1.38
B: 0.0000 0.4631 0.5000 x9  3 O 1.38-1.39
O: 0.0000 0.5984 0.5000 x9  1 B 1.38
O: 0.0000 0.8646 0.5000 x9  1 B 1.38
O: 0.0043 0.1993 0.1714 x18  1 B 1.39

Properties
Size of the total moment: 0.00 μB per formula unit
ΔE_f (raw): -3.061 eV/atom
Electronic total energy: -8.580 eV/atom

=====

Entry 2:
A relaxed RbScCdSe3 crystal. Source: Alexandria, functional PBE.

Cell: 9.0098 4.1346 10.3402 Å, 90.00 110.61 90.00°
With the nearest neighbours (Å) after each atom.
Space group P2_1/m (No. 11)
Inequivalent atoms, fractional coordinates:
Rb: 0.2235 0.2500 0.2445 x2  7 Se 3.47-3.78
Sc: 0.3341 0.7500 0.8738 x2  5 Se 2.63-2.80
Cd: 0.0847 0.2500 0.6150 x2  4 Se 2.60-2.81
Se: 0.1259 0.2500 0.8769 x2  1 Cd 2.60, 2 Sc 2.80
Se: 0.2373 0.7500 0.5548 x2  3 Cd 2.68-2.81
Se: 0.4730 0.7500 0.1447 x2  3 Sc 2.63-2.75

Properties
Size of the total moment: 0.00 μB per formula unit
ΔE_f (raw): -1.238 eV/atom
Electronic total energy: -4.350 eV/atom

=====

Entry 3:
A relaxed PmLuBeHg crystal. Source: Alexandria, functional PBE.

Cell: 7.2313 7.2313 7.2313 Å, 90.00 90.00 90.00°
With the nearest neighbours (Å) after each atom.
Space group F-43m (No. 216)
Inequivalent atoms, fractional coordinates:
Pm: 0.0000 0.0000 0.0000 x4  4 Hg 3.13, 4 Be 3.13
Lu: 0.0000 0.0000 0.5000 x4  4 Hg 3.13, 4 Be 3.13
Be: 0.2500 0.2500 0.2500 x4  4 Pm 3.13, 4 Lu 3.13
Hg: 0.2500 0.2500 0.7500 x4  4 Pm 3.13, 4 Lu 3.13

Properties
Size of the total moment: 0.00 μB per formula unit
Electronic total energy: -3.421 eV/atom

=====

> Look up the electronic total energy of the third one.

-3.421 eV/atom

=====

> Which value of size of the total moment does entry 2 give?

0.00 μB per formula unit

=====

> size of the total moment of number 2 (RbScCdSe3)?

0.00 μB per formula unit